Entry from Alexandria: PuTlCd after structural relaxation (PBE).

- final energy (eV/atom) = -5.87
- calculated density (g/cm3) = 12.03
- density of states at the Fermi level (states/eV per atom) = 3.307
- space group = Cmcm

Lattice parameters (Å, degrees): 4.6801 13.8038 4.7931 90.00 90.00 90.00
Last column: nearest neighbours and their distance in Å.
Positions (direct):
Pu1 0.0000 0.0763 0.2500  2 Pu 3.19, 4 Cd 3.36-3.38, 6 Tl 3.37
Pu2 0.0000 0.9237 0.7500  2 Pu 3.19, 4 Cd 3.36-3.38, 6 Tl 3.37
Pu3 0.5000 0.4237 0.7500  2 Pu 3.19, 4 Cd 3.36-3.38, 6 Tl 3.37
Pu4 0.5000 0.5763 0.2500  2 Pu 3.19, 4 Cd 3.36-3.38, 6 Tl 3.37
Tl1 0.0000 0.4003 0.2500  4 Cd 3.11-3.18, 6 Pu 3.37
Tl2 0.0000 0.5997 0.7500  4 Cd 3.11-3.18, 6 Pu 3.37
Tl3 0.5000 0.0997 0.7500  4 Cd 3.11-3.18, 6 Pu 3.37
Tl4 0.5000 0.9003 0.2500  4 Cd 3.11-3.18, 6 Pu 3.37
Cd1 0.0000 0.2485 0.7500  4 Tl 3.11-3.18, 4 Cd 3.35, 4 Pu 3.36-3.38
Cd2 0.0000 0.7515 0.2500  4 Tl 3.11-3.18, 4 Cd 3.35, 4 Pu 3.36-3.38
Cd3 0.5000 0.2515 0.2500  4 Tl 3.11-3.18, 4 Cd 3.35, 4 Pu 3.36-3.38
Cd4 0.5000 0.7485 0.7500  4 Tl 3.11-3.18, 4 Cd 3.35, 4 Pu 3.36-3.38